Record 1
Li2AlZn2GaPd2 | PBE | relaxed

Values from the calculation:
- Raw total energy: -3.4666 eV per atom

a = 4.3135 Å, b = 4.3135 Å, c = 6.1138 Å
α = 90.00°, β = 90.00°, γ = 90.00°
Last column: nearest neighbours and their distance in Å.
Space group P-4m2 (No. 115)
One atom of each set of equivalent atoms:
Li 0.0000 0.5000 0.2441 (multiplicity 2)  2 Ga 2.62, 4 Zn 2.62-2.66, 2 Al 2.66
Al 0.0000 0.0000 0.5000 (multiplicity 1)  4 Pd 2.63, 4 Li 2.66
Zn 0.0000 0.0000 0.0000 (multiplicity 1)  4 Li 2.62, 4 Pd 2.66
Zn 0.5000 0.5000 0.5000 (multiplicity 1)  4 Pd 2.63, 4 Li 2.66
Ga 0.5000 0.5000 0.0000 (multiplicity 1)  4 Li 2.62, 4 Pd 2.66
Pd 0.0000 0.5000 0.7458 (multiplicity 2)  4 Zn 2.63-2.66, 2 Al 2.63, 2 Ga 2.66

---

Record 2
Li2Ta2AlGaPt2 | PBE | relaxed

Values from the calculation:
- Total magnetization: 1.65 μB/f.u.
- Raw total energy: -6.1706 eV per atom

a = 4.4098 Å, b = 4.4098 Å, c = 6.2406 Å
α = 90.00°, β = 90.00°, γ = 90.00°
Last column: nearest neighbours and their distance in Å.
Space group P-4m2 (No. 115)
One atom of each set of equivalent atoms:
Li 0.0000 0.5000 0.2440 (multiplicity 2)  4 Ta 2.68-2.72, 2 Ga 2.68, 2 Al 2.72
Ta 0.0000 0.0000 0.0000 (multiplicity 1)  4 Li 2.68, 4 Pt 2.76
Ta 0.5000 0.5000 0.5000 (multiplicity 1)  4 Pt 2.64, 4 Li 2.72
Al 0.0000 0.0000 0.5000 (multiplicity 1)  4 Pt 2.64, 4 Li 2.72
Ga 0.5000 0.5000 0.0000 (multiplicity 1)  4 Li 2.68, 4 Pt 2.76
Pt 0.0000 0.5000 0.7340 (multiplicity 2)  4 Ta 2.64-2.76, 2 Al 2.64, 2 Ga 2.76

---

Record 3
Li2AlZn2GaPt2 | PBE | relaxed

Values from the calculation:
- Total magnetization: 0.00 μB/f.u.
- Raw total energy: -3.8074 eV per atom

a = 4.3132 Å, b = 4.3132 Å, c = 6.0893 Å
α = 90.00°, β = 90.00°, γ = 90.00°
Last column: nearest neighbours and their distance in Å.
Space group P-4m2 (No. 115)
One atom of each set of equivalent atoms:
Li 0.0000 0.5000 0.2471 (multiplicity 2)  4 Zn 2.63-2.65, 2 Ga 2.63, 2 Al 2.65
Al 0.0000 0.0000 0.5000 (multiplicity 1)  4 Pt 2.62, 4 Li 2.65
Zn 0.0000 0.0000 0.0000 (multiplicity 1)  4 Li 2.63, 4 Pt 2.66
Zn 0.5000 0.5000 0.5000 (multiplicity 1)  4 Pt 2.62, 4 Li 2.65
Ga 0.5000 0.5000 0.0000 (multiplicity 1)  4 Li 2.63, 4 Pt 2.66
Pt 0.0000 0.5000 0.7440 (multiplicity 2)  2 Al 2.62, 4 Zn 2.62-2.66, 2 Ga 2.66

---

Record 4
Li4Al2ZnGa | PBE | relaxed

Values from the calculation:
- Raw total energy: -2.6868 eV per atom

a = 4.3688 Å, b = 4.3688 Å, c = 6.1881 Å
α = 90.00°, β = 90.00°, γ = 90.00°
Last column: nearest neighbours and their distance in Å.
Space group P-4m2 (No. 115)
One atom of each set of equivalent atoms:
Li 0.0000 0.0000 0.0000 (multiplicity 1)  4 Li 2.68, 4 Al 2.70
Li 0.0000 0.5000 0.7479 (multiplicity 2)  4 Li 2.67-2.68, 2 Zn 2.67, 2 Ga 2.68
Li 0.5000 0.5000 0.5000 (multiplicity 1)  4 Al 2.66, 4 Li 2.67
Al 0.0000 0.5000 0.2556 (multiplicity 2)  4 Li 2.66-2.70, 2 Zn 2.66, 2 Ga 2.70
Zn 0.0000 0.0000 0.5000 (multiplicity 1)  4 Al 2.66, 4 Li 2.67
Ga 0.5000 0.5000 0.0000 (multiplicity 1)  4 Li 2.68, 4 Al 2.70

---

Record 5
LuAlGa | PBE | relaxed

Values from the calculation:
- Total magnetization: 0.00 μB/f.u.
- Raw total energy: -3.6620 eV per atom

a = 6.6554 Å, b = 6.6554 Å, c = 6.6554 Å
α = 90.00°, β = 90.00°, γ = 90.00°
Last column: nearest neighbours and their distance in Å.
Space group F-43m (No. 216)
One atom of each set of equivalent atoms:
Lu 0.0000 0.0000 0.0000 (multiplicity 4)  4 Al 2.88, 4 Ga 2.88
Al 0.2500 0.2500 0.7500 (multiplicity 4)  4 Lu 2.88
Ga 0.2500 0.2500 0.2500 (multiplicity 4)  4 Lu 2.88

---

Record 6
LuAlGaTe3 | PBE | relaxed

Values from the calculation:
- Total magnetization: 0.01 μB/f.u.
- Raw total energy: -4.0314 eV per atom

a = 4.2811 Å, b = 14.5018 Å, c = 11.2387 Å
α = 90.00°, β = 90.00°, γ = 90.00°
Last column: nearest neighbours and their distance in Å.
Space group Cmcm (No. 63)
One atom of each set of equivalent atoms:
Lu 0.0000 0.0000 0.0000 (multiplicity 4)  6 Te 3.05-3.08
Al 0.0000 0.4653 0.2500 (multiplicity 4)  4 Te 2.68-2.78
Ga 0.0000 0.2217 0.7500 (multiplicity 4)  6 Te 3.26-3.50, 2 Al 3.45
Te 0.0000 0.0877 0.2500 (multiplicity 4)  2 Al 2.78, 2 Lu 3.08
Te 0.0000 0.3571 0.0565 (multiplicity 8)  1 Al 2.68

---

Record 7
Na2Mg2AlGaPd2 | PBE | relaxed

Values from the calculation:
- Raw total energy: -3.1381 eV per atom

a = 4.6348 Å, b = 4.6348 Å, c = 6.5482 Å
α = 90.00°, β = 90.00°, γ = 90.00°
Last column: nearest neighbours and their distance in Å.
Space group P-4m2 (No. 115)
One atom of each set of equivalent atoms:
Na 0.0000 0.5000 0.2466 (multiplicity 2)  4 Mg 2.82-2.85, 2 Ga 2.82, 2 Al 2.85
Mg 0.0000 0.0000 0.0000 (multiplicity 1)  4 Na 2.82, 4 Pd 2.86
Mg 0.5000 0.5000 0.5000 (multiplicity 1)  4 Pd 2.81, 4 Na 2.85
Al 0.0000 0.0000 0.5000 (multiplicity 1)  4 Pd 2.81, 4 Na 2.85
Ga 0.5000 0.5000 0.0000 (multiplicity 1)  4 Na 2.82, 4 Pd 2.86
Pd 0.0000 0.5000 0.7440 (multiplicity 2)  4 Mg 2.81-2.86, 2 Al 2.81, 2 Ga 2.86

---

Record 8
Pr2NdMg3AlGa2 | PBE | relaxed

Values from the calculation:
- Total magnetization: 0.01 μB/f.u.
- Raw total energy: -3.6255 eV per atom

a = 4.6038 Å, b = 12.9772 Å, c = 7.5097 Å
α = 90.00°, β = 90.00°, γ = 90.00°
Last column: nearest neighbours and their distance in Å.
Space group Amm2 (No. 38)
One atom of each set of equivalent atoms:
Pr 0.0000 0.2152 0.0000 (multiplicity 4)  4 Ga 3.21, 1 Al 3.23, 2 Mg 3.37
Nd 0.0000 0.0000 0.3548 (multiplicity 2)  4 Ga 3.20, 1 Al 3.22, 2 Mg 3.37
Mg 0.5000 0.0000 0.0273 (multiplicity 2)  2 Ga 2.89, 2 Al 2.94, 2 Mg 3.15
Mg 0.5000 0.1210 0.6633 (multiplicity 4)  2 Ga 2.90-2.91, 2 Al 2.93, 2 Mg 3.14-3.15
Al 0.0000 0.0000 0.7835 (multiplicity 2)  6 Mg 2.93-2.94, 1 Nd 3.22, 2 Pr 3.23
Ga 0.5000 0.1659 0.2849 (multiplicity 4)  3 Mg 2.89-2.91, 2 Nd 3.20, 4 Pr 3.21

---

Record 9
TbNd2Mg3AlGa2 | PBE | relaxed

Values from the calculation:
- Total magnetization: 0.01 μB/f.u.
- Raw total energy: -3.6135 eV per atom

a = 4.5691 Å, b = 12.7777 Å, c = 7.4554 Å
α = 90.00°, β = 90.00°, γ = 90.00°
Last column: nearest neighbours and their distance in Å.
Space group Amm2 (No. 38)
One atom of each set of equivalent atoms:
Tb 0.0000 0.0000 0.0000 (multiplicity 2)  4 Ga 3.14, 1 Al 3.17, 2 Mg 3.33
Nd 0.0000 0.2161 0.3521 (multiplicity 4)  4 Ga 3.19, 1 Al 3.22, 2 Mg 3.31
Mg 0.5000 0.0000 0.3253 (multiplicity 2)  2 Ga 2.84, 2 Al 2.94, 2 Mg 3.14
Mg 0.5000 0.1213 0.6914 (multiplicity 4)  2 Ga 2.86-2.89, 2 Al 2.90, 2 Mg 3.10-3.14
Al 0.0000 0.0000 0.5742 (multiplicity 2)  6 Mg 2.90-2.94, 1 Tb 3.17, 2 Nd 3.22
Ga 0.5000 0.1639 0.0681 (multiplicity 4)  3 Mg 2.84-2.89, 2 Tb 3.14

---

Record 10
MgAlGaNi | PBE | relaxed

Values from the calculation:
- Energy above the most stable polymorph in this dataset: 0.00 kcal/mol of atoms
- Total magnetization: 0.00 μB/f.u.
- Raw total energy: -3.6121 eV per atom

a = 6.2099 Å, b = 6.2099 Å, c = 6.2099 Å
α = 90.00°, β = 90.00°, γ = 90.00°
Last column: nearest neighbours and their distance in Å.
Space group F-43m (No. 216)
One atom of each set of equivalent atoms:
Mg 0.0000 0.0000 0.0000 (multiplicity 4)  4 Ni 2.69, 4 Ga 2.69
Al 0.0000 0.0000 0.5000 (multiplicity 4)  4 Ni 2.69, 4 Ga 2.69
Ga 0.2500 0.2500 0.7500 (multiplicity 4)  4 Mg 2.69, 4 Al 2.69
Ni 0.2500 0.2500 0.2500 (multiplicity 4)  4 Mg 2.69, 4 Al 2.69

---

Record 11
MgAlGaNi | PBE | relaxed

Values from the calculation:
- Energy above the most stable polymorph in this dataset: 0.68 kcal/mol of atoms
- Total magnetization: 0.01 μB/f.u.
- Raw total energy: -3.5827 eV per atom

a = 6.1653 Å, b = 6.1653 Å, c = 6.1653 Å
α = 90.00°, β = 90.00°, γ = 90.00°
Last column: nearest neighbours and their distance in Å.
Space group F-43m (No. 216)
One atom of each set of equivalent atoms:
Mg 0.0000 0.0000 0.0000 (multiplicity 4)  4 Al 2.67, 4 Ga 2.67
Al 0.2500 0.2500 0.2500 (multiplicity 4)  4 Ni 2.67, 4 Mg 2.67
Ga 0.2500 0.2500 0.7500 (multiplicity 4)  4 Mg 2.67, 4 Ni 2.67
Ni 0.0000 0.0000 0.5000 (multiplicity 4)  4 Al 2.67, 4 Ga 2.67

---

Record 12
Mg4AlGaNi2 | PBE | relaxed

Values from the calculation:
- Total magnetization: 0.00 μB/f.u.
- Raw total energy: -3.2713 eV per atom

a = 4.2689 Å, b = 4.2689 Å, c = 8.5349 Å
α = 90.00°, β = 90.00°, γ = 120.00°
Last column: nearest neighbours and their distance in Å.
Space group P-6m2 (No. 187)
One atom of each set of equivalent atoms:
Mg 0.0000 0.0000 0.1679 (multiplicity 2)  4 Ni 2.83-2.85, 4 Mg 2.84-2.87, 3 Ga 2.85
Mg 0.3333 0.6667 0.3322 (multiplicity 2)  4 Ni 2.84-2.85, 4 Mg 2.84-2.86, 3 Al 2.85
Al 0.6667 0.3333 0.5000 (multiplicity 1)  3 Ni 2.46
Ga 0.6667 0.3333 0.0000 (multiplicity 1)  3 Ni 2.46
Ni 0.0000 0.0000 0.5000 (multiplicity 1)  3 Al 2.46
Ni 0.3333 0.6667 0.0000 (multiplicity 1)  3 Ga 2.46

---

Record 13
MgAlGaPd | PBE | relaxed

Values from the calculation:
- Energy above the most stable polymorph in this dataset: 1.86 kcal/mol of atoms
- Raw total energy: -3.6679 eV per atom

a = 6.3956 Å, b = 6.3956 Å, c = 6.3956 Å
α = 90.00°, β = 90.00°, γ = 90.00°
Last column: nearest neighbours and their distance in Å.
Space group F-43m (No. 216)
One atom of each set of equivalent atoms:
Mg 0.0000 0.0000 0.0000 (multiplicity 4)  4 Al 2.77, 4 Ga 2.77
Al 0.2500 0.2500 0.2500 (multiplicity 4)  4 Mg 2.77, 4 Pd 2.77
Ga 0.2500 0.2500 0.7500 (multiplicity 4)  4 Mg 2.77, 4 Pd 2.77
Pd 0.0000 0.0000 0.5000 (multiplicity 4)  4 Al 2.77, 4 Ga 2.77